The following is a DFT calculation (PBE) of an optimized crystal structure of La5SmDy2Sc.

Computed properties:
* electronic total energy: -84.474 eV per cell
* energy relative to the elements: 28 kJ/mol of atoms

```
La5SmDy2Sc
1.0
8.193 0.000 0.000
0.000 8.193 0.000
0.000 0.000 9.447
La Sm Dy Sc
10 2 4 2
direct
0.000 0.000 0.000
0.209 0.291 0.275
0.209 0.291 0.725
0.291 0.791 0.275
0.291 0.791 0.725
0.500 0.500 0.000
0.709 0.209 0.275
0.709 0.209 0.725
0.791 0.709 0.275
0.791 0.709 0.725
0.000 0.000 0.500
0.500 0.500 0.500
0.128 0.628 0.000
0.372 0.128 0.000
0.628 0.872 0.000
0.872 0.372 0.000
0.000 0.500 0.500
0.500 0.000 0.500
```